AcNdSb4: relaxed, PBE.

Results
Volume: 30.70 A^3/atom
Uncorrected formation energy: -0.366 eV per atom
Total magnetic moment: 0.00 μB/atom

abc: 6.3866 6.3866 6.3866
angles: 60.00 60.00 60.00
Fractional positions:
Ac1 0.0000 0.0000 0.0000
Nd1 0.7500 0.7500 0.7500
Sb1 0.3755 0.3755 0.3755
Sb2 0.3755 0.3755 0.8736
Sb3 0.3755 0.8736 0.3755
Sb4 0.8736 0.3755 0.3755